Model 1:
VASP calculation (GGA-PBE) on Hf3ReOs after structural relaxation.

Output
**Crystal system**: cubic

Lattice parameters (Å, degrees): 4.9035 4.9035 4.9035 90.00 90.00 90.00
Space group Pm-3m (No. 221)
Symmetry-distinct sites (fractional):
Hf 0.0000 0.0000 0.5000
Re 0.5000 0.5000 0.5000
Os 0.0000 0.0000 0.0000

***

Model 2:
VASP calculation (GGA-PBE) on Hf3ReOs after structural relaxation.

Output
**Crystal system**: cubic

Lattice parameters (Å, degrees): 4.9059 4.9059 4.9059 90.00 90.00 90.00
Space group Pm-3m (No. 221)
Symmetry-distinct sites (fractional):
Hf 0.0000 0.0000 0.5000
Re 0.0000 0.0000 0.0000
Os 0.5000 0.5000 0.5000

***

Which is most stable, and by how much? model 1, by 0.134 eV/atom.

***

Model 1:
VASP calculation (GGA-PBE) on HfRe3Os after structural relaxation.

Output
**Crystal system**: cubic

Lattice parameters (Å, degrees): 4.6888 4.6888 4.6888 90.00 90.00 90.00
Space group Pm-3m (No. 221)
Symmetry-distinct sites (fractional):
Hf 0.0000 0.0000 0.0000
Re 0.0000 0.5000 0.5000
Os 0.5000 0.5000 0.5000

***

Model 2:
VASP calculation (GGA-PBE) on HfRe3Os after structural relaxation.

Output
**Crystal system**: cubic

Lattice parameters (Å, degrees): 4.6384 4.6384 4.6384 90.00 90.00 90.00
Space group Pm-3m (No. 221)
Symmetry-distinct sites (fractional):
Hf 0.0000 0.0000 0.0000
Re 0.0000 0.0000 0.5000
Os 0.5000 0.5000 0.5000

***

Which is most stable, and by how much? model 1, by 1.241 eV/atom.

***

Model 1:
VASP calculation (GGA-PBE) on Hf2OsRh after structural relaxation.

Output
**Crystal system**: cubic

Lattice parameters (Å, degrees): 6.5261 6.5261 6.5261 90.00 90.00 90.00
Space group Fm-3m (No. 225)
Symmetry-distinct sites (fractional):
Hf 0.2500 0.2500 0.2500
Os 0.0000 0.0000 0.0000
Rh 0.0000 0.0000 0.5000

***

Model 2:
VASP calculation (GGA-PBE) on Hf2OsRh after structural relaxation.

Output
**Crystal system**: tetragonal

Lattice parameters (Å, degrees): 7.0967 7.0967 5.9535 90.00 90.00 90.00
Space group I-42d (No. 122)
Symmetry-distinct sites (fractional):
Hf 0.2479 0.2500 0.1250
Os 0.0000 0.0000 0.5000
Rh 0.0000 0.0000 0.0000

***

Which is most stable, and by how much? model 1, by 0.682 eV/atom.